Material: Dy5HoTmTh2
Method: DFT, PBE
State: relaxed

Calculated values
Space group: I4/mcm (140)
Formation energy in eV/f.u.: 3.141

Cell: 8.684 8.684 9.930 Å, 115.93 115.93 90.00°
Sites, in units of the cell vectors:
1 Ho 0.250 0.250 0.500
2 Ho 0.750 0.750 0.500
3 Dy 0.071 0.571 0.718
4 Dy 0.571 0.647 0.718
5 Dy 0.929 0.429 0.282
6 Dy 0.853 0.929 0.282
7 Dy 0.000 0.000 0.000
8 Dy 0.147 0.071 0.718
9 Dy 0.353 0.853 0.282
10 Dy 0.500 0.500 0.000
11 Dy 0.429 0.353 0.282
12 Dy 0.647 0.147 0.718
13 Th 0.380 0.880 0.000
14 Th 0.880 0.620 0.000
15 Th 0.120 0.380 0.000
16 Th 0.620 0.120 0.000
17 Tm 0.250 0.750 0.500
18 Tm 0.750 0.250 0.500


Material: DyHo5Tm2Th
Method: DFT, PBE
State: relaxed

Calculated values
Space group: Cmc2_1 (36)
Formation energy in eV/f.u.: 1.487

Cell: 5.654 11.060 9.615 Å, 90.00 90.00 104.81°
Sites, in units of the cell vectors:
1 Dy 0.810 0.621 0.518
2 Dy 0.190 0.379 0.018
3 Th 0.594 0.189 0.922
4 Th 0.406 0.811 0.422
5 Ho 0.272 0.543 0.323
6 Ho 0.531 0.063 0.242
7 Ho 0.728 0.457 0.823
8 Ho 0.398 0.796 0.042
9 Ho 0.696 0.391 0.217
10 Ho 0.304 0.609 0.717
11 Ho 0.986 0.972 0.519
12 Ho 0.602 0.204 0.542
13 Ho 0.014 0.028 0.019
14 Ho 0.469 0.937 0.742
15 Tm 0.129 0.259 0.712
16 Tm 0.116 0.232 0.330
17 Tm 0.871 0.741 0.212
18 Tm 0.884 0.768 0.830


Material: Dy2Ho5TmTh
Method: DFT, PBE
State: relaxed

Calculated values
Space group: Cmc2_1 (36)
Formation energy in eV/f.u.: 1.482

Cell: 5.656 11.083 9.633 Å, 90.00 90.00 104.78°
Sites, in units of the cell vectors:
1 Ho 0.603 0.206 0.542
2 Ho 0.470 0.939 0.743
3 Ho 0.397 0.794 0.042
4 Ho 0.730 0.460 0.826
5 Ho 0.305 0.610 0.718
6 Ho 0.270 0.540 0.326
7 Ho 0.695 0.390 0.218
8 Ho 0.986 0.971 0.517
9 Ho 0.530 0.061 0.243
10 Ho 0.014 0.029 0.017
11 Tm 0.190 0.380 0.017
12 Tm 0.810 0.620 0.517
13 Dy 0.130 0.261 0.710
14 Dy 0.885 0.770 0.827
15 Dy 0.870 0.739 0.210
16 Dy 0.115 0.230 0.327
17 Th 0.596 0.192 0.924
18 Th 0.404 0.808 0.424


Material: Dy2HoTm4Th
Method: DFT, PBE
State: relaxed

Calculated values
Space group: P2/m (10)
Formation energy in eV/f.u.: 0.250

Cell: 5.003 4.993 11.059 Å, 63.21 90.00 90.00°
Sites, in units of the cell vectors:
1 Tm 0.000 0.751 0.749
2 Tm 0.500 0.748 0.252
3 Tm 0.000 0.249 0.251
4 Tm 0.500 0.252 0.748
5 Th 0.000 0.500 0.500
6 Dy 0.000 0.000 0.000
7 Dy 0.500 0.000 0.500
8 Ho 0.500 0.500 0.000


Material: DyYHoTh2
Method: DFT, PBE
State: relaxed

Calculated values
Space group: Cmcm (63)
Formation energy in eV/f.u.: 2.164

Cell: 6.638 6.636 8.511 Å, 112.94 90.00 90.00°
Sites, in units of the cell vectors:
1 Ho 0.250 0.252 0.504
2 Ho 0.750 0.748 0.496
3 Dy 0.750 0.151 0.302
4 Dy 0.250 0.849 0.698
5 Y 0.750 0.347 0.694
6 Y 0.250 0.653 0.306
7 Th 0.500 0.250 0.000
8 Th 0.500 0.750 0.000
9 Th 0.000 0.750 0.000
10 Th 0.000 0.250 0.000


Material: Dy2Y2HoTh
Method: DFT, PBE
State: relaxed

Calculated values
Space group: Pmc2_1 (26)
Formation energy in eV/f.u.: 0.203

Cell: 5.028 7.111 10.689 Å, 90.00 90.00 90.00°
Sites, in units of the cell vectors:
1 Th 0.500 0.634 0.333
2 Th 0.500 0.134 0.667
3 Y 0.000 0.388 0.170
4 Y 0.000 0.888 0.830
5 Y 0.500 0.133 0.999
6 Y 0.500 0.633 0.001
7 Ho 0.000 0.882 0.499
8 Ho 0.000 0.382 0.501
9 Dy 0.000 0.877 0.170
10 Dy 0.000 0.377 0.830
11 Dy 0.500 0.132 0.336
12 Dy 0.500 0.632 0.664


Material: DyYHoTh
Method: DFT, PBE
State: relaxed

Calculated values
Space group: F-43m (216)
Formation energy in eV/f.u.: 0.594
Excess energy over the best structure of this formula in the dataset in meV per atom: 143

Cell: 5.667 5.667 5.667 Å, 60.00 60.00 60.00°
Sites, in units of the cell vectors:
1 Y 0.750 0.750 0.750
2 Ho 0.250 0.250 0.250
3 Dy 0.500 0.500 0.500
4 Th 0.000 0.000 0.000


Material: DyY5Ho2Th
Method: DFT, PBE
State: relaxed

Calculated values
Space group: Cmc2_1 (36)
Formation energy in eV/f.u.: 1.418

Cell: 5.732 11.076 9.691 Å, 90.00 90.00 105.00°
Sites, in units of the cell vectors:
1 Ho 0.887 0.775 0.822
2 Ho 0.130 0.260 0.710
3 Ho 0.113 0.225 0.322
4 Ho 0.870 0.740 0.210
5 Y 0.733 0.467 0.835
6 Y 0.472 0.944 0.744
7 Y 0.695 0.390 0.211
8 Y 0.391 0.782 0.040
9 Y 0.986 0.972 0.513
10 Y 0.267 0.533 0.335
11 Y 0.609 0.218 0.540
12 Y 0.305 0.610 0.711
13 Y 0.014 0.028 0.013
14 Y 0.528 0.056 0.244
15 Dy 0.597 0.194 0.927
16 Dy 0.403 0.806 0.427
17 Th 0.812 0.625 0.522
18 Th 0.188 0.375 0.022


Material: Dy2YHoTh
Method: DFT, PBE
State: relaxed

Calculated values
Space group: Cmcm (63)
Formation energy in eV/f.u.: 2.029

Cell: 6.370 6.410 8.890 Å, 111.13 90.00 90.00°
Sites, in units of the cell vectors:
1 Th 0.250 0.844 0.687
2 Th 0.750 0.156 0.313
3 Y 0.250 0.657 0.313
4 Y 0.750 0.343 0.687
5 Ho 0.250 0.237 0.473
6 Ho 0.750 0.763 0.527
7 Dy 0.500 0.753 0.000
8 Dy 0.000 0.247 0.000
9 Dy 0.500 0.247 0.000
10 Dy 0.000 0.753 0.000


Material: Dy6Y2Ho3Th
Method: DFT, PBE
State: relaxed

Calculated values
Space group: C2/m (12)
Formation energy in eV/f.u.: 0.316

Cell: 6.144 6.144 11.766 Å, 94.99 94.99 119.96°
Sites, in units of the cell vectors:
1 Dy 0.084 0.414 0.251
2 Dy 0.755 0.755 0.251
3 Dy 0.916 0.586 0.749
4 Dy 0.586 0.916 0.749
5 Dy 0.245 0.245 0.749
6 Dy 0.414 0.084 0.251
7 Th 0.000 0.000 0.000
8 Ho 0.833 0.167 0.500
9 Ho 0.167 0.833 0.500
10 Ho 0.500 0.500 0.500
11 Y 0.333 0.667 0.000
12 Y 0.667 0.333 0.000


Material: Dy2Y4Ho2Th
Method: DFT, PBE
State: relaxed

Calculated values
Space group: C2/m (12)
Formation energy in eV/f.u.: 0.023

Cell: 3.593 9.479 9.530 Å, 115.16 90.00 100.92°
Sites, in units of the cell vectors:
1 Ho 0.335 0.669 0.998
2 Ho 0.665 0.331 0.002
3 Th 0.000 0.000 0.000
4 Y 0.815 0.630 0.667
5 Y 0.482 0.963 0.670
6 Y 0.185 0.370 0.333
7 Y 0.518 0.037 0.330
8 Dy 0.148 0.296 0.667
9 Dy 0.852 0.704 0.333


Material: Dy5YHo2Th
Method: DFT, PBE
State: relaxed

Calculated values
Space group: Cmc2_1 (36)
Formation energy in eV/f.u.: 1.459

Cell: 5.691 11.094 9.693 Å, 90.00 90.00 104.86°
Sites, in units of the cell vectors:
1 Ho 0.884 0.769 0.830
2 Ho 0.871 0.742 0.211
3 Ho 0.129 0.258 0.711
4 Ho 0.116 0.231 0.330
5 Dy 0.399 0.797 0.042
6 Dy 0.304 0.609 0.718
7 Dy 0.272 0.544 0.323
8 Dy 0.985 0.971 0.518
9 Dy 0.531 0.063 0.242
10 Dy 0.601 0.203 0.542
11 Dy 0.696 0.391 0.218
12 Dy 0.728 0.456 0.823
13 Dy 0.469 0.937 0.742
14 Dy 0.015 0.029 0.018
15 Y 0.810 0.620 0.517
16 Y 0.190 0.380 0.017
17 Th 0.595 0.189 0.923
18 Th 0.405 0.811 0.423


Material: Dy6Y2HoTh3
Method: DFT, PBE
State: relaxed

Calculated values
Space group: C2/m (12)
Formation energy in eV/f.u.: 0.286

Cell: 6.173 6.173 11.741 Å, 95.04 95.04 119.97°
Sites, in units of the cell vectors:
1 Dy 0.248 0.248 0.746
2 Dy 0.752 0.752 0.254
3 Dy 0.417 0.084 0.254
4 Dy 0.084 0.417 0.254
5 Dy 0.916 0.583 0.746
6 Dy 0.583 0.916 0.746
7 Th 0.833 0.167 0.500
8 Th 0.167 0.833 0.500
9 Th 0.500 0.500 0.500
10 Y 0.667 0.333 0.000
11 Y 0.333 0.667 0.000
12 Ho 0.000 0.000 0.000


Material: Dy5YHoTh2
Method: DFT, PBE
State: relaxed

Calculated values
Space group: I4/mcm (140)
Formation energy in eV/f.u.: 3.075

Cell: 8.719 8.719 9.934 Å, 116.03 116.03 90.00°
Sites, in units of the cell vectors:
1 Dy 0.000 0.000 0.000
2 Dy 0.500 0.500 0.000
3 Dy 0.852 0.929 0.280
4 Dy 0.148 0.071 0.720
5 Dy 0.071 0.571 0.720
6 Dy 0.429 0.352 0.280
7 Dy 0.929 0.429 0.280
8 Dy 0.571 0.648 0.720
9 Dy 0.648 0.148 0.720
10 Dy 0.352 0.852 0.280
11 Th 0.620 0.120 0.000
12 Th 0.120 0.380 0.000
13 Th 0.380 0.880 0.000
14 Th 0.880 0.620 0.000
15 Ho 0.750 0.750 0.500
16 Ho 0.250 0.250 0.500
17 Y 0.250 0.750 0.500
18 Y 0.750 0.250 0.500


Material: Dy6Y2HoTh
Method: DFT, PBE
State: relaxed

Calculated values
Space group: C2/c (15)
Formation energy in eV/f.u.: 1.537

Cell: 9.048 8.908 8.908 Å, 116.10 91.16 91.16°
Sites, in units of the cell vectors:
1 Dy 0.062 0.122 0.777
2 Dy 0.194 0.564 0.001
3 Dy 0.438 0.223 0.878
4 Dy 0.102 0.720 0.475
5 Dy 0.694 0.001 0.564
6 Dy 0.398 0.525 0.280
7 Dy 0.562 0.777 0.122
8 Dy 0.898 0.280 0.525
9 Dy 0.938 0.878 0.223
10 Dy 0.602 0.475 0.720
11 Dy 0.806 0.436 0.999
12 Dy 0.306 0.999 0.436
13 Th 0.750 0.037 0.963
14 Th 0.250 0.963 0.037
15 Y 0.060 0.312 0.204
16 Y 0.560 0.204 0.312
17 Y 0.440 0.796 0.688
18 Y 0.940 0.688 0.796
19 Ho 0.750 0.581 0.419
20 Ho 0.250 0.419 0.581


Material: Dy5Y2HoTh
Method: DFT, PBE
State: relaxed

Calculated values
Space group: Cmc2_1 (36)
Formation energy in eV/f.u.: 1.452

Cell: 5.700 11.090 9.723 Å, 90.00 90.00 104.89°
Sites, in units of the cell vectors:
1 Dy 0.531 0.061 0.242
2 Dy 0.696 0.392 0.216
3 Dy 0.015 0.030 0.018
4 Dy 0.728 0.456 0.824
5 Dy 0.469 0.939 0.742
6 Dy 0.985 0.970 0.518
7 Dy 0.272 0.544 0.324
8 Dy 0.601 0.202 0.541
9 Dy 0.399 0.798 0.041
10 Dy 0.304 0.608 0.716
11 Y 0.885 0.769 0.829
12 Y 0.115 0.231 0.329
13 Y 0.128 0.256 0.713
14 Y 0.872 0.744 0.213
15 Th 0.405 0.811 0.425
16 Th 0.595 0.189 0.925
17 Ho 0.190 0.381 0.017
18 Ho 0.810 0.619 0.517


Material: DyYHo5Th2
Method: DFT, PBE
State: relaxed

Calculated values
Space group: I4/mcm (140)
Formation energy in eV/f.u.: 3.069

Cell: 8.736 8.736 9.876 Å, 116.25 116.25 90.00°
Sites, in units of the cell vectors:
1 Ho 0.430 0.350 0.279
2 Ho 0.850 0.930 0.279
3 Ho 0.350 0.850 0.279
4 Ho 0.500 0.500 0.000
5 Ho 0.570 0.650 0.721
6 Ho 0.150 0.070 0.721
7 Ho 0.070 0.570 0.721
8 Ho 0.650 0.150 0.721
9 Ho 0.000 0.000 0.000
10 Ho 0.930 0.430 0.279
11 Th 0.619 0.119 0.000
12 Th 0.381 0.881 0.000
13 Th 0.119 0.381 0.000
14 Th 0.881 0.619 0.000
15 Y 0.250 0.250 0.500
16 Y 0.750 0.750 0.500
17 Dy 0.250 0.750 0.500
18 Dy 0.750 0.250 0.500


Material: DyY5HoTh2
Method: DFT, PBE
State: relaxed

Calculated values
Space group: I4/mcm (140)
Formation energy in eV/f.u.: 3.031

Cell: 8.754 8.754 9.946 Å, 116.11 116.11 90.00°
Sites, in units of the cell vectors:
1 Y 0.071 0.571 0.721
2 Y 0.350 0.850 0.279
3 Y 0.150 0.071 0.721
4 Y 0.429 0.350 0.279
5 Y 0.500 0.500 0.000
6 Y 0.571 0.650 0.721
7 Y 0.929 0.429 0.279
8 Y 0.850 0.929 0.279
9 Y 0.650 0.150 0.721
10 Y 0.000 0.000 0.000
11 Th 0.119 0.381 0.000
12 Th 0.381 0.881 0.000
13 Th 0.619 0.119 0.000
14 Th 0.881 0.619 0.000
15 Dy 0.250 0.750 0.500
16 Dy 0.750 0.250 0.500
17 Ho 0.750 0.750 0.500
18 Ho 0.250 0.250 0.500


Material: DyYHoTh
Method: DFT, PBE
State: relaxed

Calculated values
Space group: R3m (160)
Formation energy in eV/f.u.: 0.023
Excess energy over the best structure of this formula in the dataset in meV per atom: 0

Cell: 3.589 3.590 11.602 Å, 90.00 98.90 120.00°
Site moments in Bohr magnetons follow the coordinates.
Sites, in units of the cell vectors:
1 Dy 0.471 0.133 0.620  0.04
2 Th 0.301 0.548 0.865  0.00
3 Y 0.135 0.966 0.115  0.03
4 Ho 0.971 0.384 0.370  0.17